(1)
Al3WCl | PBE-GGA | optimized geometry

Cell lengths 4.509, 4.509, 4.509 Å; angles 90.00, 90.00, 90.00 degrees
Fractional coordinates of all 5 atoms:
Al  0.000  0.000  0.500
Al  0.000  0.500  0.000
Al  0.500  0.000  0.000
W  0.500  0.500  0.500
Cl  0.000  0.000  0.000

Calculated values
**Spin magnetization**: 0.00 μB/f.u.
**VASP energy**: -4.04 eV/atom
**Symmetry**: No. 221


(2)
AlWCl2 | PBE-GGA | optimized geometry

Cell lengths 6.858, 6.858, 6.858 Å; angles 90.00, 90.00, 90.00 degrees
Fractional coordinates of all 16 atoms:
Al  0.000  0.000  0.000
Al  0.000  0.500  0.500
Al  0.500  0.000  0.500
Al  0.500  0.500  0.000
W  0.250  0.250  0.750
W  0.250  0.750  0.250
W  0.750  0.250  0.250
W  0.750  0.750  0.750
Cl  0.000  0.000  0.500
Cl  0.000  0.500  0.000
Cl  0.250  0.250  0.250
Cl  0.250  0.750  0.750
Cl  0.500  0.000  0.000
Cl  0.500  0.500  0.500
Cl  0.750  0.250  0.750
Cl  0.750  0.750  0.250

Calculated values
**Spin magnetization**: 4.88 μB/f.u.
**VASP energy**: -4.14 eV/atom
**Symmetry**: No. 216


(3)
AlWCl | PBE-GGA | optimized geometry

Cell lengths 5.973, 5.973, 5.973 Å; angles 90.00, 90.00, 90.00 degrees
Fractional coordinates of all 12 atoms:
Al  0.000  0.000  0.000
Al  0.000  0.500  0.500
Al  0.500  0.000  0.500
Al  0.500  0.500  0.000
W  0.000  0.000  0.500
W  0.000  0.500  0.000
W  0.500  0.000  0.000
W  0.500  0.500  0.500
Cl  0.250  0.250  0.250
Cl  0.250  0.750  0.750
Cl  0.750  0.250  0.750
Cl  0.750  0.750  0.250

Calculated values
**Spin magnetization**: 0.00 μB/f.u.
**VASP energy**: -4.70 eV/atom
**Symmetry**: No. 216


(4)
AlWCl | PBE-GGA | optimized geometry

Cell lengths 2.872, 5.270, 16.651 Å; angles 90.00, 90.00, 90.00 degrees
Fractional coordinates of all 12 atoms:
Al  0.000  0.000  0.000
Al  0.000  0.500  0.500
Al  0.500  0.000  0.500
Al  0.500  0.500  0.000
W  0.000  0.000  0.629
W  0.000  0.500  0.129
W  0.500  0.000  0.129
W  0.500  0.500  0.629
Cl  0.000  0.000  0.392
Cl  0.000  0.500  0.892
Cl  0.500  0.000  0.892
Cl  0.500  0.500  0.392

Calculated values
**Spin magnetization**: 0.00 μB/f.u.
**VASP energy**: -5.86 eV/atom
**Symmetry**: No. 42


(5)
AlW3Cl | PBE-GGA | optimized geometry

Cell lengths 4.403, 4.403, 4.403 Å; angles 90.00, 90.00, 90.00 degrees
Fractional coordinates of all 5 atoms:
Al  0.000  0.000  0.000
W  0.000  0.500  0.500
W  0.500  0.000  0.500
W  0.500  0.500  0.000
Cl  0.500  0.500  0.500

Calculated values
**Spin magnetization**: 0.00 μB/f.u.
**VASP energy**: -7.45 eV/atom
**Symmetry**: No. 221


(6)
AlWCl2 | PBE-GGA | optimized geometry

Cell lengths 4.049, 3.015, 7.815 Å; angles 90.00, 96.43, 90.00 degrees
Fractional coordinates of all 4 atoms:
Al  0.000  0.000  0.000
W  0.535  0.500  0.120
Cl  0.262  0.500  0.803
Cl  0.613  0.000  0.361

Calculated values
**Spin magnetization**: 0.45 μB/f.u.
**VASP energy**: -5.33 eV/atom
**Symmetry**: No. 6


(7)
AlWCl2 | PBE-GGA | optimized geometry

Cell lengths 2.899, 4.432, 5.431 Å; angles 90.00, 90.00, 90.00 degrees
Fractional coordinates of all 4 atoms:
Al  0.000  0.000  0.000
W  0.500  0.000  0.500
Cl  0.000  0.500  0.500
Cl  0.500  0.500  0.000

Calculated values
**Spin magnetization**: 1.18 μB/f.u.
**VASP energy**: -4.66 eV/atom
**Symmetry**: No. 47


(8)
AlWCl2 | PBE-GGA | optimized geometry

Cell lengths 9.637, 2.968, 7.365 Å; angles 90.00, 106.55, 90.00 degrees
Fractional coordinates of all 8 atoms:
Al  0.000  0.000  0.000
Al  0.500  0.500  0.000
W  0.212  0.500  0.929
W  0.712  0.000  0.929
Cl  0.166  0.000  0.656
Cl  0.328  0.000  0.210
Cl  0.666  0.500  0.656
Cl  0.828  0.500  0.210

Calculated values
**Spin magnetization**: 0.59 μB/f.u.
**VASP energy**: -5.12 eV/atom
**Symmetry**: No. 8